DFT (PBE+U) results for a geometry-optimized AcMnCdO4 structure.

Computed properties:
**Total DFT energy (no corrections)**: -6.469 eV per atom
**Size of the total moment**: 4.00 μB/f.u.

a b c (Å): 5.8952 5.7304 6.8461
angles (deg): 90.00 106.88 90.00
Last column: nearest neighbours and their distance in Å.
Space group P2_1/m (No. 11)
One atom of each set of equivalent atoms:
Ac 0.2325 0.2500 0.4447 (multiplicity 2)  2 O 2.38-2.40
Mn 0.2382 0.7500 0.1553 (multiplicity 2)  4 O 1.89-2.04
Cd 0.3065 0.2500 0.9536 (multiplicity 2)  6 O 2.26-2.49
O 0.0044 0.2500 0.0954 (multiplicity 2)  1 Mn 1.89
O 0.0427 0.7500 0.3567 (multiplicity 2)  1 Mn 2.04
O 0.4744 0.5171 0.2395 (multiplicity 4)  1 Mn 1.89